w.
The following is a PBE calculation of an optimized crystal structure of TmPu2Ru3, from Alexandria.

a = 7.298 Å, b = 7.298 Å, c = 3.150 Å
α = 90.00°, β = 90.00°, γ = 138.71°
Fractional coordinates of all 6 atoms:
Tm: 0.000 0.000 0.000
Pu: 0.338 0.662 0.000
Pu: 0.662 0.338 0.000
Ru: 0.192 0.808 0.500
Ru: 0.500 0.500 0.500
Ru: 0.808 0.192 0.500

Calculated volume, A^3/atom: 18.45
SG: Cmmm (65)

x.
The following is a PBE calculation of an optimized crystal structure of TmPu2Ru3, from Alexandria.

a = 3.356 Å, b = 3.356 Å, c = 10.225 Å
α = 90.00°, β = 90.00°, γ = 90.00°
Fractional coordinates of all 6 atoms:
Tm: 0.000 0.000 0.000
Pu: 0.000 0.000 0.333
Pu: 0.000 0.000 0.667
Ru: 0.500 0.500 0.173
Ru: 0.500 0.500 0.500
Ru: 0.500 0.500 0.827

Calculated volume, A^3/atom: 19.19
SG: P4/mmm (123)

It is x that is the most stable of them.

w.
The following is a PBE calculation of an optimized crystal structure of TmPu2Ru, from Alexandria.

a = 3.332 Å, b = 3.332 Å, c = 8.663 Å
α = 90.00°, β = 90.00°, γ = 90.00°
Fractional coordinates of all 4 atoms:
Tm: 0.000 0.000 0.000
Pu: 0.500 0.500 0.301
Pu: 0.500 0.500 0.699
Ru: 0.000 0.000 0.500

Calculated volume, A^3/atom: 24.05
SG: P4/mmm (123)

x.
The following is a PBE calculation of an optimized crystal structure of TmPu2Ru, from Alexandria.

a = 10.578 Å, b = 10.578 Å, c = 10.578 Å
α = 18.09°, β = 18.09°, γ = 18.09°
Fractional coordinates of all 4 atoms:
Tm: 0.000 0.000 0.000
Pu: 0.101 0.101 0.101
Pu: 0.899 0.899 0.899
Ru: 0.500 0.500 0.500

Calculated volume, A^3/atom: 24.92
SG: R-3m (166)

It is w that is the most stable of them.

w.
The following is a PBE calculation of an optimized crystal structure of Tm2PuRu2, from Alexandria.

a = 5.732 Å, b = 5.732 Å, c = 8.937 Å
α = 118.12°, β = 118.12°, γ = 53.60°
Fractional coordinates of all 10 atoms:
Tm: 0.007 0.007 0.188
Tm: 0.373 0.373 0.547
Tm: 0.627 0.627 0.453
Tm: 0.993 0.993 0.812
Pu: 0.371 0.371 0.954
Pu: 0.629 0.629 0.046
Ru: 0.144 0.144 0.627
Ru: 0.294 0.294 0.176
Ru: 0.706 0.706 0.824
Ru: 0.856 0.856 0.373

Calculated volume, A^3/atom: 20.07
SG: C2/m (12)

x.
The following is a PBE calculation of an optimized crystal structure of Tm2PuRu2, from Alexandria.

a = 5.768 Å, b = 5.768 Å, c = 7.752 Å
α = 100.50°, β = 100.50°, γ = 59.21°
Fractional coordinates of all 10 atoms:
Tm: 0.018 0.286 0.151
Tm: 0.286 0.018 0.651
Tm: 0.714 0.982 0.349
Tm: 0.982 0.714 0.849
Pu: 0.361 0.639 0.250
Pu: 0.639 0.361 0.750
Ru: 0.226 0.509 0.492
Ru: 0.491 0.774 0.008
Ru: 0.509 0.226 0.992
Ru: 0.774 0.491 0.508

Calculated volume, A^3/atom: 21.67
SG: C2/c (15)

It is x that is the most stable of them.

w.
The following is a PBE calculation of an optimized crystal structure of Pu2URu2, from Alexandria.

a = 5.903 Å, b = 5.903 Å, c = 5.903 Å
α = 138.40°, β = 123.66°, γ = 72.42°
Fractional coordinates of all 5 atoms:
Pu: 0.202 0.202 0.000
Pu: 0.798 0.798 0.000
U: 0.500 0.000 0.500
Ru: 0.244 0.500 0.744
Ru: 0.756 0.500 0.256

Calculated volume, A^3/atom: 22.26
SG: Immm (71)

x.
The following is a PBE calculation of an optimized crystal structure of Pu2URu2, from Alexandria.

a = 4.237 Å, b = 4.237 Å, c = 5.908 Å
α = 90.00°, β = 90.00°, γ = 117.38°
Fractional coordinates of all 5 atoms:
Pu: 0.178 0.822 0.000
Pu: 0.822 0.178 0.000
U: 0.000 0.000 0.500
Ru: 0.500 0.500 0.267
Ru: 0.500 0.500 0.733

Calculated volume, A^3/atom: 18.84
SG: Cmmm (65)

It is w that is the most stable of them.

w.
The following is a PBE calculation of an optimized crystal structure of Pu2URu3, from Alexandria.

a = 7.676 Å, b = 7.676 Å, c = 3.334 Å
α = 90.18°, β = 90.18°, γ = 36.71°
Fractional coordinates of all 6 atoms:
Pu: 0.177 0.177 0.005
Pu: 0.823 0.823 0.995
U: 0.500 0.500 0.000
Ru: 0.000 0.000 0.500
Ru: 0.363 0.363 0.498
Ru: 0.637 0.637 0.502

Calculated volume, A^3/atom: 19.57
SG: C2/m (12)

x.
The following is a PBE calculation of an optimized crystal structure of Pu2URu3, from Alexandria.

a = 5.964 Å, b = 5.964 Å, c = 5.964 Å
α = 133.44°, β = 126.81°, γ = 73.33°
Fractional coordinates of all 6 atoms:
Pu: 0.171 0.171 0.000
Pu: 0.829 0.829 0.000
U: 0.500 0.500 0.000
Ru: 0.000 0.500 0.500
Ru: 0.347 0.847 0.500
Ru: 0.653 0.153 0.500

Calculated volume, A^3/atom: 20.07
SG: Immm (71)

It is w that is the most stable of them.

w.
The following is a PBE calculation of an optimized crystal structure of Pu2URu, from Alexandria.

a = 5.208 Å, b = 5.208 Å, c = 8.443 Å
α = 90.00°, β = 90.00°, γ = 130.88°
Fractional coordinates of all 8 atoms:
Pu: 0.144 0.856 0.587
Pu: 0.144 0.856 0.913
Pu: 0.856 0.144 0.087
Pu: 0.856 0.144 0.413
U: 0.494 0.506 0.750
U: 0.506 0.494 0.250
Ru: 0.165 0.835 0.250
Ru: 0.835 0.165 0.750

Calculated volume, A^3/atom: 21.65
SG: Cmcm (63)

x.
The following is a PBE calculation of an optimized crystal structure of Pu2URu, from Alexandria.

a = 4.817 Å, b = 4.817 Å, c = 4.817 Å
α = 60.00°, β = 60.00°, γ = 60.00°
Fractional coordinates of all 4 atoms:
Pu: 0.250 0.250 0.250
Pu: 0.750 0.750 0.750
U: 0.000 0.000 0.000
Ru: 0.500 0.500 0.500

Calculated volume, A^3/atom: 19.76
SG: Fm-3m (225)

y.
The following is a PBE calculation of an optimized crystal structure of Pu2URu, from Alexandria.

a = 5.000 Å, b = 5.000 Å, c = 3.104 Å
α = 90.00°, β = 90.00°, γ = 90.00°
Fractional coordinates of all 4 atoms:
Pu: 0.000 0.500 0.000
Pu: 0.500 0.000 0.000
U: 0.000 0.000 0.500
Ru: 0.500 0.500 0.500

Calculated volume, A^3/atom: 19.40
SG: P4/mmm (123)

z.
The following is a PBE calculation of an optimized crystal structure of Pu2URu, from Alexandria.

a = 3.379 Å, b = 3.379 Å, c = 6.993 Å
α = 90.00°, β = 90.00°, γ = 90.00°
Fractional coordinates of all 4 atoms:
Pu: 0.000 0.000 0.234
Pu: 0.000 0.000 0.766
U: 0.500 0.500 0.500
Ru: 0.500 0.500 0.000

Calculated volume, A^3/atom: 19.96
SG: P4/mmm (123)

It is z that is the most stable of them.

w.
The following is a PBE calculation of an optimized crystal structure of PuURu, from Alexandria.

a = 11.679 Å, b = 11.679 Å, c = 3.370 Å
α = 90.00°, β = 90.00°, γ = 163.70°
Fractional coordinates of all 6 atoms:
Pu: 0.061 0.939 0.750
Pu: 0.939 0.061 0.250
U: 0.212 0.788 0.750
U: 0.788 0.212 0.250
Ru: 0.351 0.649 0.750
Ru: 0.649 0.351 0.250

Calculated volume, A^3/atom: 21.50
SG: Cmcm (63)

x.
The following is a PBE calculation of an optimized crystal structure of PuURu, from Alexandria.

a = 4.613 Å, b = 4.613 Å, c = 3.033 Å
α = 90.00°, β = 90.00°, γ = 120.00°
Fractional coordinates of all 3 atoms:
Pu: 0.000 0.000 0.000
U: 0.333 0.667 0.264
Ru: 0.667 0.333 0.596

Calculated volume, A^3/atom: 18.63
SG: P3m1 (156)

y.
The following is a PBE calculation of an optimized crystal structure of PuURu, from Alexandria.

a = 5.529 Å, b = 5.529 Å, c = 5.529 Å
α = 144.04°, β = 144.04°, γ = 51.77°
Fractional coordinates of all 3 atoms:
Pu: 0.000 0.000 0.000
U: 0.669 0.669 0.000
Ru: 0.317 0.317 0.000

Calculated volume, A^3/atom: 19.32
SG: I4mm (107)

It is y that is the most stable of them.

w.
The following is a PBE calculation of an optimized crystal structure of PuV2Ru, from Alexandria.

a = 4.431 Å, b = 4.431 Å, c = 4.431 Å
α = 60.00°, β = 60.00°, γ = 60.00°
Fractional coordinates of all 4 atoms:
Pu: 0.000 0.000 0.000
V: 0.250 0.250 0.250
V: 0.750 0.750 0.750
Ru: 0.500 0.500 0.500

Calculated volume, A^3/atom: 15.38
SG: Fm-3m (225)

x.
The following is a PBE calculation of an optimized crystal structure of PuV2Ru, from Alexandria.

a = 4.542 Å, b = 4.542 Å, c = 2.966 Å
α = 90.00°, β = 90.00°, γ = 90.00°
Fractional coordinates of all 4 atoms:
Pu: 0.000 0.000 0.000
V: 0.000 0.500 0.500
V: 0.500 0.000 0.500
Ru: 0.500 0.500 0.000

Calculated volume, A^3/atom: 15.30
SG: P4/mmm (123)

y.
The following is a PBE calculation of an optimized crystal structure of PuV2Ru, from Alexandria.

a = 2.952 Å, b = 2.952 Å, c = 7.343 Å
α = 90.00°, β = 90.00°, γ = 90.00°
Fractional coordinates of all 4 atoms:
Pu: 0.000 0.000 0.000
V: 0.500 0.500 0.289
V: 0.500 0.500 0.711
Ru: 0.000 0.000 0.500

Calculated volume, A^3/atom: 16.00
SG: P4/mmm (123)

It is y that is the most stable of them.

w.
The following is a PBE calculation of an optimized crystal structure of YPu3Ru2, from Alexandria.

a = 4.157 Å, b = 9.074 Å, c = 7.036 Å
α = 90.00°, β = 90.00°, γ = 90.00°
Fractional coordinates of all 12 atoms:
Y: 0.000 0.061 0.000
Y: 0.000 0.939 0.500
Pu: 0.000 0.324 0.685
Pu: 0.000 0.676 0.185
Pu: 0.500 0.213 0.337
Pu: 0.500 0.432 0.927
Pu: 0.500 0.568 0.427
Pu: 0.500 0.787 0.837
Ru: 0.000 0.363 0.183
Ru: 0.000 0.637 0.683
Ru: 0.500 0.122 0.701
Ru: 0.500 0.878 0.201

Calculated volume, A^3/atom: 22.12
SG: Pmc2_1 (26)

x.
The following is a PBE calculation of an optimized crystal structure of YPu3Ru2, from Alexandria.

a = 8.511 Å, b = 8.511 Å, c = 7.328 Å
α = 108.34°, β = 108.34°, γ = 27.63°
Fractional coordinates of all 12 atoms:
Y: 0.116 0.116 0.179
Y: 0.884 0.884 0.821
Pu: 0.054 0.054 0.653
Pu: 0.287 0.287 0.063
Pu: 0.378 0.378 0.442
Pu: 0.622 0.622 0.558
Pu: 0.713 0.713 0.937
Pu: 0.946 0.946 0.347
Ru: 0.238 0.238 0.643
Ru: 0.468 0.468 0.137
Ru: 0.532 0.532 0.863
Ru: 0.762 0.762 0.357

Calculated volume, A^3/atom: 19.41
SG: C2/m (12)

It is w that is the most stable of them.

w.
The following is a PBE calculation of an optimized crystal structure of Y2PuRu, from Alexandria.

a = 7.174 Å, b = 9.451 Å, c = 6.279 Å
α = 90.00°, β = 90.00°, γ = 90.00°
Fractional coordinates of all 16 atoms:
Y: 0.172 0.064 0.175
Y: 0.172 0.436 0.175
Y: 0.328 0.564 0.675
Y: 0.328 0.936 0.675
Y: 0.672 0.064 0.325
Y: 0.672 0.436 0.325
Y: 0.828 0.564 0.825
Y: 0.828 0.936 0.825
Pu: 0.049 0.250 0.657
Pu: 0.451 0.750 0.157
Pu: 0.549 0.250 0.843
Pu: 0.951 0.750 0.343
Ru: 0.132 0.750 0.992
Ru: 0.368 0.250 0.492
Ru: 0.632 0.750 0.508
Ru: 0.868 0.250 0.008

Calculated volume, A^3/atom: 26.60
SG: Pnma (62)

x.
The following is a PBE calculation of an optimized crystal structure of Y2PuRu, from Alexandria.

a = 3.411 Å, b = 3.411 Å, c = 8.802 Å
α = 90.00°, β = 90.00°, γ = 90.00°
Fractional coordinates of all 4 atoms:
Y: 0.000 0.000 0.189
Y: 0.000 0.000 0.811
Pu: 0.500 0.500 0.500
Ru: 0.500 0.500 0.000

Calculated volume, A^3/atom: 25.60
SG: P4/mmm (123)

It is w that is the most stable of them.

w.
The following is a PBE calculation of an optimized crystal structure of Y2PuRu3, from Alexandria.

a = 7.610 Å, b = 7.610 Å, c = 7.610 Å
α = 155.00°, β = 137.04°, γ = 50.34°
Fractional coordinates of all 6 atoms:
Y: 0.169 0.169 0.000
Y: 0.831 0.831 0.000
Pu: 0.500 0.500 0.000
Ru: 0.000 0.500 0.500
Ru: 0.352 0.852 0.500
Ru: 0.648 0.148 0.500

Calculated volume, A^3/atom: 21.07
SG: Immm (71)

x.
The following is a PBE calculation of an optimized crystal structure of Y2PuRu3, from Alexandria.

a = 5.791 Å, b = 5.791 Å, c = 8.084 Å
α = 90.00°, β = 90.00°, γ = 120.00°
Fractional coordinates of all 12 atoms:
Y: 0.333 0.667 0.060
Y: 0.333 0.667 0.440
Y: 0.667 0.333 0.560
Y: 0.667 0.333 0.940
Pu: 0.000 0.000 0.000
Pu: 0.000 0.000 0.500
Ru: 0.168 0.337 0.750
Ru: 0.168 0.832 0.750
Ru: 0.337 0.168 0.250
Ru: 0.663 0.832 0.750
Ru: 0.832 0.168 0.250
Ru: 0.832 0.663 0.250

Calculated volume, A^3/atom: 19.56
SG: P6_3/mmc (194)

It is x that is the most stable of them.